Record 1
Sb3W | PBE | relaxed

The structure in extended XYZ format:
```
8
Lattice="4.683 0.000 0.000 0.000 6.970 0.000 0.000 0.000 5.800" Properties=species:S:1:pos:R:3 pbc="T T T"
Sb 2.341 3.179 0.000
Sb 0.000 3.791 2.900
Sb 0.000 1.004 1.409
Sb 0.000 1.004 4.391
Sb 2.341 5.966 4.309
Sb 2.341 5.966 1.491
W 0.000 5.261 0.000
W 2.341 1.709 2.900
```

Output
As for the crystal system: orthorhombic. For the uncorrected formation energy, the calculation gives 0.5414 eV/atom.


Record 2
SbW | PBE | relaxed

The structure in extended XYZ format:
```
8
Lattice="6.290 0.000 0.008 0.000 3.558 0.000 -6.266 0.000 7.523" Properties=species:S:1:pos:R:3 pbc="T T T"
Sb 1.594 0.000 0.510
Sb -1.570 0.000 7.021
Sb -1.538 1.779 4.272
Sb 1.563 1.779 3.259
W -3.835 0.000 5.251
W 3.859 0.000 2.280
W -0.702 1.779 1.490
W 0.726 1.779 6.041
```

Output
As for the crystal system: monoclinic. For the uncorrected formation energy, the calculation gives 0.4721 eV/atom.


Record 3
Sb4W | PBE | relaxed

The structure in extended XYZ format:
```
5
Lattice="-1.920 1.920 9.679 1.920 -1.920 9.679 1.920 1.920 -9.679" Properties=species:S:1:pos:R:3 pbc="T T T"
Sb 0.000 1.920 4.839
Sb 1.920 0.000 4.839
Sb 0.000 0.000 11.136
Sb 0.000 0.000 8.221
W 0.000 0.000 0.000
```

Output
As for the crystal system: tetragonal. For the uncorrected formation energy, the calculation gives 0.8781 eV/atom.


Record 4
SbW2 | PBE | relaxed

The structure in extended XYZ format:
```
6
Lattice="-3.172 3.172 2.760 3.172 -3.172 2.760 3.172 3.172 -2.760" Properties=species:S:1:pos:R:3 pbc="T T T"
Sb 0.000 0.000 4.140
Sb 0.000 0.000 1.380
W 2.288 0.883 0.000
W 0.883 2.288 2.760
W 0.883 4.055 0.000
W 2.288 -0.883 2.760
```

Output
As for the crystal system: tetragonal. For the uncorrected formation energy, the calculation gives 1.0405 eV/atom.


Record 5
SbW2 | PBE | relaxed

The structure in extended XYZ format:
```
6
Lattice="-0.400 -2.345 4.894 2.162 -0.548 4.963 -3.292 4.526 4.287" Properties=species:S:1:pos:R:3 pbc="T T T"
Sb -1.558 1.989 5.993
Sb 0.028 -0.356 8.151
W -2.077 2.560 10.343
W 0.737 -1.463 10.639
W -2.268 3.097 3.504
W 0.547 -0.927 3.801
```

Output
As for the crystal system: monoclinic. For the uncorrected formation energy, the calculation gives 0.4891 eV/atom.


Record 6
SbW2 | PBE | relaxed

The structure in extended XYZ format:
```
9
Lattice="3.887 -6.733 0.000 3.887 6.733 0.000 0.000 0.000 3.030" Properties=species:S:1:pos:R:3 pbc="T T T"
Sb 3.887 2.244 0.000
Sb 3.887 -2.244 0.000
Sb 0.000 0.000 1.515
W 1.197 -2.073 0.000
W 1.197 2.073 0.000
W 5.381 0.000 0.000
W 2.494 -4.320 1.515
W 2.494 4.320 1.515
W 2.787 0.000 1.515
```

Output
As for the crystal system: hexagonal. For the uncorrected formation energy, the calculation gives 0.6707 eV/atom.


Record 7
SbW | PBE | relaxed

The structure in extended XYZ format:
```
2
Lattice="4.750 -0.001 0.000 3.701 2.977 0.000 3.701 1.304 2.677" Properties=species:S:1:pos:R:3 pbc="T T T"
Sb 0.000 0.000 0.000
W 6.076 2.140 1.338
```

Output
As for the crystal system: trigonal. For the uncorrected formation energy, the calculation gives 0.7401 eV/atom.


Record 8
Sb8W | PBE | relaxed

The structure in extended XYZ format:
```
9
Lattice="0.029 -5.428 6.442 0.141 7.639 -3.547 -8.300 -0.828 -1.177" Properties=species:S:1:pos:R:3 pbc="T T T"
Sb 0.069 -0.794 2.899
Sb 0.101 3.005 -0.005
Sb -5.728 4.782 -3.317
Sb -5.827 0.197 0.192
Sb -5.807 -4.393 3.696
Sb -2.303 1.186 1.526
Sb -2.431 2.029 -1.407
Sb -2.464 -1.864 1.568
W 0.000 0.000 0.000
```

Output
As for the crystal system: tetragonal. For the uncorrected formation energy, the calculation gives 0.3554 eV/atom.


Record 9
Sb3W | PBE | relaxed

The structure in extended XYZ format:
```
4
Lattice="-0.675 -5.072 1.358 3.636 0.536 3.809 -3.787 1.418 3.415" Properties=species:S:1:pos:R:3 pbc="T T T"
Sb -0.337 -2.536 0.679
Sb 1.818 0.268 1.905
Sb -1.894 0.709 1.708
W 0.000 0.000 0.000
```

Output
As for the crystal system: cubic. For the uncorrected formation energy, the calculation gives 0.7401 eV/atom.


Record 10
Sb3W | PBE | relaxed

The structure in extended XYZ format:
```
4
Lattice="3.297 0.000 0.000 -1.649 2.856 0.000 0.000 0.000 10.369" Properties=species:S:1:pos:R:3 pbc="T T T"
Sb 0.000 0.000 9.842
Sb 0.000 0.000 5.712
Sb 1.649 0.952 2.592
W 1.649 0.952 7.777
```

Output
As for the crystal system: hexagonal. For the uncorrected formation energy, the calculation gives 0.4804 eV/atom.


Record 11
Sb4W | PBE | relaxed

The structure in extended XYZ format:
```
5
Lattice="5.262 0.000 0.000 0.000 5.262 0.000 0.000 0.000 5.262" Properties=species:S:1:pos:R:3 pbc="T T T"
Sb 0.000 0.000 0.000
Sb 2.631 0.000 2.631
Sb 0.000 2.631 2.631
Sb 2.631 2.631 0.000
W 2.631 2.631 2.631
```

Output
As for the crystal system: cubic. For the uncorrected formation energy, the calculation gives 0.6817 eV/atom.


Record 12
SbW | PBE | relaxed

The structure in extended XYZ format:
```
4
Lattice="-3.749 -2.440 -2.346 0.459 -4.773 1.587 -0.247 4.219 2.767" Properties=species:S:1:pos:R:3 pbc="T T T"
Sb 0.000 0.000 0.000
Sb -0.717 -2.081 1.987
W -1.645 -3.607 -0.380
W -2.821 -0.914 0.020
```

Output
As for the crystal system: tetragonal. For the uncorrected formation energy, the calculation gives 0.8277 eV/atom.